Record 1
Here is La4Nd5Er after structural relaxation from the Alexandria database. Energies are from PBE-GGA.

Cell lengths 10.811, 10.811, 6.003 Å; angles 90.00, 90.00, 90.00 degrees
Space group P4/nmm (No. 129, origin choice 2)
Unique sites:
La  0.049  0.750  0.128 (multiplicity 8)
Nd  0.091  0.091  0.348 (multiplicity 8)
Nd  0.250  0.750  0.500 (multiplicity 2)
Er  0.250  0.250  0.840 (multiplicity 2)

Properties
**Uncorrected energy**: -4.66 eV/atom
**Calculated formation energy**: 0.15 eV/atom
**Energy above the lowest structure with this stoichiometry**: 0 meV/atom

Record 2
Here is LaNdEr4 after structural relaxation from the Alexandria database. Energies are from PBE-GGA.

Cell lengths 9.429, 9.429, 9.429 Å; angles 90.00, 90.00, 90.00 degrees
Space group F-43m (No. 216)
Unique sites:
La  0.000  0.000  0.000 (multiplicity 4)
Nd  0.250  0.250  0.750 (multiplicity 4)
Er  0.125  0.125  0.375 (multiplicity 16)

Properties
**Uncorrected energy**: -4.38 eV/atom
**Calculated formation energy**: 0.28 eV/atom
**Energy above the lowest structure with this stoichiometry**: 250 meV/atom

Record 3
Here is La3Nd5Er3 after structural relaxation from the Alexandria database. Energies are from PBE-GGA.

Cell lengths 11.4776, 11.4776, 3.4579 Å; angles 90.00, 90.00, 120.00 degrees
Space group P-62m (No. 189)
Unique sites:
La  0.0000  0.5987  0.0000 (multiplicity 3)
Nd  0.0000  0.3355  0.5000 (multiplicity 3)
Nd  0.3333  0.6667  0.5000 (multiplicity 2)
Er  0.0000  0.8423  0.5000 (multiplicity 3)

Properties
**Uncorrected energy**: -4.44 eV/atom
**Calculated formation energy**: 0.31 eV/atom

| no. | M_tot (μB/f.u.) |
| --- | --- |
| 1 | 0.00 |
| 2 | 4.70 |
| 3 | 0.00 |